Entry 1:
LiPm3 (GGA-PBE, relaxed); polymorph energy (0 for the lowest one) = 0 meV per atom; DFT formation energy = 77 meV per atom; space group = Immm; density of states at the Fermi level = 1.32 states/eV per atom
1.0
-3.7925 -0.3112 -0.3372
0.6287 -1.9551 -5.2662
1.8414 -4.2156 4.8185
Li Pm
1 3
direct
0.0000 0.9169 0.0000
0.2740 0.6905 0.5480
0.5000 0.4168 0.0000
0.7260 0.1425 0.4520

***

Entry 2:
Dy2YHo5Er (GGA-PBE, relaxed); DFT formation energy = 302 meV per atom; space group = I4/mcm; density of states at the Fermi level = 1.25 states/eV per atom
1.0
-3.4196 -4.1998 7.0386
8.1261 -2.7332 2.3171
-1.4744 9.4864 -0.6589
Dy Y Ho Er
4 2 10 2
direct
0.1127 0.3873 0.0000
0.6127 0.1127 0.0000
0.3873 0.8873 0.0000
0.8873 0.6127 0.0000
0.2500 0.2500 0.5000
0.7500 0.7500 0.5000
0.9275 0.4275 0.2654
0.6620 0.1620 0.7346
0.0725 0.5725 0.7346
0.1620 0.0725 0.7346
0.5725 0.6620 0.7346
0.8380 0.9275 0.2654
0.4275 0.3379 0.2654
0.3379 0.8380 0.2654
0.5000 0.5000 0.0000
0.0000 0.0000 0.0000
0.2500 0.7500 0.5000
0.7500 0.2500 0.5000

***

Entry 3:
VH3Os (GGA-PBE, relaxed); space group = Pm-3m; DFT total energy = -27.464 eV for the cell shown; density of states at the Fermi level = 0.62 states/eV per atom
1.0
-2.5140 0.6417 -2.0831
-1.4944 -2.8224 0.9339
-1.5869 1.6412 2.4207
H Os V
3 1 1
direct
0.0000 0.5000 0.0000
0.0000 0.0000 0.5000
0.5000 0.0000 0.0000
0.5000 0.5000 0.5000
0.0000 0.0000 0.0000

***

Which formula does entry 1 have? LiPm3

***

Repeat the third record exactly.
VH3Os (GGA-PBE, relaxed); space group = Pm-3m; DFT total energy = -27.464 eV for the cell shown; density of states at the Fermi level = 0.62 states/eV per atom
1.0
-2.5140 0.6417 -2.0831
-1.4944 -2.8224 0.9339
-1.5869 1.6412 2.4207
H Os V
3 1 1
direct
0.0000 0.5000 0.0000
0.0000 0.0000 0.5000
0.5000 0.0000 0.0000
0.5000 0.5000 0.5000
0.0000 0.0000 0.0000

***

What did the third record say?
VH3Os (GGA-PBE, relaxed); space group = Pm-3m; DFT total energy = -27.464 eV for the cell shown; density of states at the Fermi level = 0.62 states/eV per atom
1.0
-2.5140 0.6417 -2.0831
-1.4944 -2.8224 0.9339
-1.5869 1.6412 2.4207
H Os V
3 1 1
direct
0.0000 0.5000 0.0000
0.0000 0.0000 0.5000
0.5000 0.0000 0.0000
0.5000 0.5000 0.5000
0.0000 0.0000 0.0000